Entry 1:
The following is a PBE-GGA calculation of a geometry-optimized Cd2CuOs structure, from the Alexandria database.

a b c (Å): 2.8843 2.8843 8.1377
angles (deg): 90.00 90.00 90.00
Fractional positions:
Cd (0.0000, 0.0000, 0.0000)
Cd (0.5000, 0.5000, 0.3093)
Cu (0.0000, 0.0000, 0.5469)
Os (0.5000, 0.5000, 0.7456)

Summary:
* crystal system: tetragonal
* offset from the most stable computed form: 32 meV/atom
* density of states at the Fermi level: 4.1 states/eV/f.u.
* ΔE_f: 0.4274 eV per atom
* magnetization: 0.00 μB/atom

Entry 2:
The following is a PBE-GGA calculation of a geometry-optimized TcPdC3 structure, from the Alexandria database.

a b c (Å): 4.0044 4.0044 4.0044
angles (deg): 90.00 90.00 90.00
Fractional positions:
Tc (0.0000, 0.0000, 0.0000)
Pd (0.5000, 0.5000, 0.5000)
C (0.0000, 0.0000, 0.5000)
C (0.0000, 0.5000, 0.0000)
C (0.5000, 0.0000, 0.0000)

Summary:
* crystal system: cubic
* offset from the most stable computed form: 0 meV/atom
* density of states at the Fermi level: 2.4 states/eV/f.u.
* ΔE_f: 1.9201 eV per atom
* magnetization: 0.00 μB/atom

Entry 3:
The following is a PBE-GGA calculation of a geometry-optimized MgCr2Tc structure, from the Alexandria database.

a b c (Å): 4.3238 4.3238 4.3238
angles (deg): 60.00 60.00 60.00
Fractional positions:
Mg (0.0000, 0.0000, 0.0000)
Cr (0.2500, 0.2500, 0.2500)
Cr (0.5000, 0.5000, 0.5000)
Tc (0.7500, 0.7500, 0.7500)

Summary:
* crystal system: cubic
* density of states at the Fermi level: 2.6 states/eV/f.u.
* ΔE_f: 0.3011 eV per atom
* magnetization: 0.68 μB/atom